1.
# AlRe3Ge | Alexandria via LeMat-Bulk | PBEsol | optimized geometry
# space-group type = No. 221
# crystal system = cubic
# ΔH_f (0 K) = 2.00 eV/atom
# ρ = 12.686 g/cm3
# DFT total energy = -39.0 eV per formula unit
data_AlRe3Ge
_chemical_formula_sum 'Al1 Re3 Ge1'
_space_group_name_H-M_alt 'P 1'
_space_group_IT_number 1
_cell_length_a 4.417
_cell_length_b 4.417
_cell_length_c 4.417
_cell_angle_alpha 90.00
_cell_angle_beta 90.00
_cell_angle_gamma 90.00
loop_
_space_group_symop_operation_xyz
'x,y,z'
loop_
_atom_site_label
_atom_site_type_symbol
_atom_site_fract_x
_atom_site_fract_y
_atom_site_fract_z
Al1 Al 0.000 0.000 0.000
Re1 Re 0.000 0.000 0.500
Re2 Re 0.000 0.500 0.000
Re3 Re 0.500 0.000 0.000
Ge1 Ge 0.500 0.500 0.500



2.
# AlGeRh3 | Alexandria via LeMat-Bulk | PBEsol | optimized geometry
# space-group type = No. 221
# crystal system = cubic
# ΔH_f (0 K) = 0.36 eV/atom
# ρ = 7.846 g/cm3
# DFT total energy = -31.6 eV per formula unit
data_AlGeRh3
_chemical_formula_sum 'Al1 Ge1 Rh3'
_space_group_name_H-M_alt 'P 1'
_space_group_IT_number 1
_cell_length_a 4.421
_cell_length_b 4.421
_cell_length_c 4.421
_cell_angle_alpha 90.00
_cell_angle_beta 90.00
_cell_angle_gamma 90.00
loop_
_space_group_symop_operation_xyz
'x,y,z'
loop_
_atom_site_label
_atom_site_type_symbol
_atom_site_fract_x
_atom_site_fract_y
_atom_site_fract_z
Al1 Al 0.000 0.000 0.000
Ge1 Ge 0.500 0.500 0.500
Rh1 Rh 0.000 0.500 0.500
Rh2 Rh 0.500 0.000 0.500
Rh3 Rh 0.500 0.500 0.000



3.
# AlZnGeRh2 | Alexandria via LeMat-Bulk | PBEsol | optimized geometry
# space-group type = No. 123
# crystal system = tetragonal
# ΔH_f (0 K) = 0.75 eV/atom
# ρ = 6.956 g/cm3
# DFT total energy = -23.1 eV per formula unit
data_AlZnGeRh2
_chemical_formula_sum 'Al1 Zn1 Ge1 Rh2'
_space_group_name_H-M_alt 'P 1'
_space_group_IT_number 1
_cell_length_a 4.528
_cell_length_b 4.528
_cell_length_c 4.317
_cell_angle_alpha 90.00
_cell_angle_beta 90.00
_cell_angle_gamma 90.00
loop_
_space_group_symop_operation_xyz
'x,y,z'
loop_
_atom_site_label
_atom_site_type_symbol
_atom_site_fract_x
_atom_site_fract_y
_atom_site_fract_z
Al1 Al 0.000 0.000 0.000
Zn1 Zn 0.000 0.000 0.500
Ge1 Ge 0.500 0.500 0.000
Rh1 Rh 0.000 0.500 0.500
Rh2 Rh 0.500 0.000 0.500



4.
# AlGeRu2 | Alexandria via LeMat-Bulk | PBEsol | optimized geometry
# space-group type = No. 225
# crystal system = cubic
# ΔH_f (0 K) = -0.49 eV/atom
# ρ = 9.512 g/cm3
# DFT total energy = -31.4 eV per formula unit
data_AlGeRu2
_chemical_formula_sum 'Al1 Ge1 Ru2'
_space_group_name_H-M_alt 'P 1'
_space_group_IT_number 1
_cell_length_a 4.208
_cell_length_b 4.208
_cell_length_c 4.208
_cell_angle_alpha 60.00
_cell_angle_beta 60.00
_cell_angle_gamma 60.00
loop_
_space_group_symop_operation_xyz
'x,y,z'
loop_
_atom_site_label
_atom_site_type_symbol
_atom_site_fract_x
_atom_site_fract_y
_atom_site_fract_z
Al1 Al 0.000 0.000 0.000
Ge1 Ge 0.500 0.500 0.500
Ru1 Ru 0.250 0.250 0.250
Ru2 Ru 0.750 0.750 0.750



5.
# AlGeTe2S | Alexandria via LeMat-Bulk | PBEsol | optimized geometry
# space-group type = No. 123
# crystal system = tetragonal
# ρ = 4.848 g/cm3
# DFT total energy = -17.7 eV per formula unit
data_AlGeTe2S
_chemical_formula_sum 'Al1 Ge1 Te2 S1'
_space_group_name_H-M_alt 'P 1'
_space_group_IT_number 1
_cell_length_a 5.343
_cell_length_b 5.343
_cell_length_c 4.642
_cell_angle_alpha 90.00
_cell_angle_beta 90.00
_cell_angle_gamma 90.00
loop_
_space_group_symop_operation_xyz
'x,y,z'
loop_
_atom_site_label
_atom_site_type_symbol
_atom_site_fract_x
_atom_site_fract_y
_atom_site_fract_z
Al1 Al 0.000 0.000 0.000
Ge1 Ge 0.500 0.500 0.000
Te1 Te 0.000 0.500 0.500
Te2 Te 0.500 0.000 0.500
S1 S 0.500 0.500 0.500



6.
# Y9AlGe3S21 | Alexandria via LeMat-Bulk | PBEsol | optimized geometry
# space-group type = No. 146
# crystal system = trigonal
# ρ = 4.103 g/cm3
# DFT total energy = -227.3 eV per formula unit
data_Y9AlGe3S21
_chemical_formula_sum 'Y18 Al2 Ge6 S42'
_space_group_name_H-M_alt 'P 1'
_space_group_IT_number 1
_cell_length_a 11.239
_cell_length_b 11.239
_cell_length_c 11.239
_cell_angle_alpha 96.43
_cell_angle_beta 96.43
_cell_angle_gamma 96.43
loop_
_space_group_symop_operation_xyz
'x,y,z'
loop_
_atom_site_label
_atom_site_type_symbol
_atom_site_fract_x
_atom_site_fract_y
_atom_site_fract_z
Y1 Y 0.001 0.130 0.345
Y2 Y 0.016 0.653 0.798
Y3 Y 0.027 0.804 0.169
Y4 Y 0.128 0.491 0.355
Y5 Y 0.130 0.345 0.001
Y6 Y 0.169 0.027 0.804
Y7 Y 0.334 0.469 0.699
Y8 Y 0.345 0.001 0.130
Y9 Y 0.355 0.128 0.491
Y10 Y 0.469 0.699 0.334
Y11 Y 0.470 0.815 0.685
Y12 Y 0.491 0.355 0.128
Y13 Y 0.653 0.798 0.016
Y14 Y 0.685 0.470 0.815
Y15 Y 0.699 0.334 0.469
Y16 Y 0.798 0.016 0.653
Y17 Y 0.804 0.169 0.027
Y18 Y 0.815 0.685 0.470
Al1 Al 0.424 0.424 0.424
Al2 Al 0.925 0.925 0.925
Ge1 Ge 0.132 0.802 0.471
Ge2 Ge 0.298 0.636 0.971
Ge3 Ge 0.471 0.132 0.802
Ge4 Ge 0.636 0.971 0.298
Ge5 Ge 0.802 0.471 0.132
Ge6 Ge 0.971 0.298 0.636
S1 S 0.028 0.295 0.192
S2 S 0.029 0.116 0.596
S3 S 0.055 0.638 0.545
S4 S 0.098 0.422 0.766
S5 S 0.116 0.596 0.029
S6 S 0.135 0.889 0.985
S7 S 0.192 0.028 0.295
S8 S 0.210 0.726 0.309
S9 S 0.238 0.332 0.479
S10 S 0.261 0.690 0.787
S11 S 0.265 0.924 0.598
S12 S 0.295 0.192 0.028
S13 S 0.309 0.210 0.726
S14 S 0.332 0.479 0.238
S15 S 0.353 0.451 0.942
S16 S 0.368 0.614 0.523
S17 S 0.403 0.965 0.876
S18 S 0.422 0.766 0.098
S19 S 0.451 0.942 0.353
S20 S 0.479 0.238 0.332
S21 S 0.523 0.368 0.614
S22 S 0.545 0.055 0.638
S23 S 0.547 0.650 0.813
S24 S 0.596 0.029 0.116
S25 S 0.598 0.265 0.924
S26 S 0.614 0.523 0.368
S27 S 0.638 0.545 0.055
S28 S 0.650 0.813 0.547
S29 S 0.690 0.787 0.261
S30 S 0.722 0.962 0.864
S31 S 0.726 0.309 0.210
S32 S 0.766 0.098 0.422
S33 S 0.787 0.261 0.690
S34 S 0.813 0.547 0.650
S35 S 0.864 0.722 0.962
S36 S 0.876 0.403 0.965
S37 S 0.889 0.985 0.135
S38 S 0.924 0.598 0.265
S39 S 0.942 0.353 0.451
S40 S 0.962 0.864 0.722
S41 S 0.965 0.876 0.403
S42 S 0.985 0.135 0.889



7.
# Al2Ge2Sb | Alexandria via LeMat-Bulk | PBEsol | optimized geometry
# space-group type = No. 139
# crystal system = tetragonal
# ρ = 5.429 g/cm3
# DFT total energy = -21.8 eV per formula unit
data_Al2Ge2Sb
_chemical_formula_sum 'Al2 Ge2 Sb1'
_space_group_name_H-M_alt 'P 1'
_space_group_IT_number 1
_cell_length_a 7.309
_cell_length_b 7.309
_cell_length_c 7.309
_cell_angle_alpha 149.86
_cell_angle_beta 149.86
_cell_angle_gamma 43.15
loop_
_space_group_symop_operation_xyz
'x,y,z'
loop_
_atom_site_label
_atom_site_type_symbol
_atom_site_fract_x
_atom_site_fract_y
_atom_site_fract_z
Al1 Al 0.101 0.101 0.000
Al2 Al 0.899 0.899 0.000
Ge1 Ge 0.250 0.750 0.500
Ge2 Ge 0.750 0.250 0.500
Sb1 Sb 0.500 0.500 0.000



8.
# AlGeSb2Se | Alexandria via LeMat-Bulk | PBEsol | optimized geometry
# space-group type = No. 123
# crystal system = tetragonal
# ρ = 5.426 g/cm3
# DFT total energy = -19.6 eV per formula unit
data_AlGeSb2Se
_chemical_formula_sum 'Al1 Ge1 Sb2 Se1'
_space_group_name_H-M_alt 'P 1'
_space_group_IT_number 1
_cell_length_a 5.220
_cell_length_b 5.220
_cell_length_c 4.740
_cell_angle_alpha 90.00
_cell_angle_beta 90.00
_cell_angle_gamma 90.00
loop_
_space_group_symop_operation_xyz
'x,y,z'
loop_
_atom_site_label
_atom_site_type_symbol
_atom_site_fract_x
_atom_site_fract_y
_atom_site_fract_z
Al1 Al 0.000 0.000 0.000
Ge1 Ge 0.500 0.500 0.500
Sb1 Sb 0.000 0.500 0.000
Sb2 Sb 0.500 0.000 0.000
Se1 Se 0.000 0.000 0.500



9.
# ScAlGe | Alexandria via LeMat-Bulk | PBEsol | optimized geometry
# space-group type = No. 63
# crystal system = orthorhombic
# ΔH_f (0 K) = -0.64 eV/atom
# ρ = 4.561 g/cm3
# DFT total energy = -17.6 eV per formula unit
data_ScAlGe
_chemical_formula_sum 'Sc2 Al2 Ge2'
_space_group_name_H-M_alt 'P 1'
_space_group_IT_number 1
_cell_length_a 5.273
_cell_length_b 5.273
_cell_length_c 5.491
_cell_angle_alpha 90.00
_cell_angle_beta 90.00
_cell_angle_gamma 136.39
loop_
_space_group_symop_operation_xyz
'x,y,z'
loop_
_atom_site_label
_atom_site_type_symbol
_atom_site_fract_x
_atom_site_fract_y
_atom_site_fract_z
Sc1 Sc 0.188 0.812 0.750
Sc2 Sc 0.812 0.188 0.250
Al1 Al 0.500 0.500 0.000
Al2 Al 0.500 0.500 0.500
Ge1 Ge 0.116 0.884 0.250
Ge2 Ge 0.884 0.116 0.750



10.
# Sc11Al2Ge8 | Alexandria via LeMat-Bulk | PBEsol | optimized geometry
# space-group type = No. 139
# crystal system = tetragonal
# ΔH_f (0 K) = -0.87 eV/atom
# ρ = 4.758 g/cm3
# DFT total energy = -138.6 eV per formula unit
data_Sc11Al2Ge8
_chemical_formula_sum 'Sc22 Al4 Ge16'
_space_group_name_H-M_alt 'P 1'
_space_group_IT_number 1
_cell_length_a 10.397
_cell_length_b 10.397
_cell_length_c 10.397
_cell_angle_alpha 120.51
_cell_angle_beta 120.51
_cell_angle_gamma 89.13
loop_
_space_group_symop_operation_xyz
'x,y,z'
loop_
_atom_site_label
_atom_site_type_symbol
_atom_site_fract_x
_atom_site_fract_y
_atom_site_fract_z
Sc1 Sc 0.059 0.310 0.749
Sc2 Sc 0.103 0.440 0.336
Sc3 Sc 0.103 0.767 0.664
Sc4 Sc 0.170 0.170 0.000
Sc5 Sc 0.233 0.897 0.336
Sc6 Sc 0.310 0.059 0.749
Sc7 Sc 0.310 0.562 0.251
Sc8 Sc 0.329 0.329 0.658
Sc9 Sc 0.329 0.671 0.000
Sc10 Sc 0.438 0.690 0.749
Sc11 Sc 0.440 0.103 0.336
Sc12 Sc 0.560 0.897 0.664
Sc13 Sc 0.562 0.310 0.251
Sc14 Sc 0.671 0.329 0.000
Sc15 Sc 0.671 0.671 0.342
Sc16 Sc 0.690 0.438 0.749
Sc17 Sc 0.690 0.941 0.251
Sc18 Sc 0.767 0.103 0.664
Sc19 Sc 0.830 0.830 0.000
Sc20 Sc 0.897 0.233 0.336
Sc21 Sc 0.897 0.560 0.664
Sc22 Sc 0.941 0.690 0.251
Al1 Al 0.128 0.128 0.256
Al2 Al 0.128 0.872 0.000
Al3 Al 0.872 0.128 0.000
Al4 Al 0.872 0.872 0.744
Ge1 Ge 0.034 0.034 0.408
Ge2 Ge 0.034 0.625 0.000
Ge3 Ge 0.147 0.500 0.647
Ge4 Ge 0.250 0.750 0.500
Ge5 Ge 0.375 0.375 0.408
Ge6 Ge 0.375 0.966 0.000
Ge7 Ge 0.383 0.383 0.000
Ge8 Ge 0.500 0.147 0.647
Ge9 Ge 0.500 0.853 0.353
Ge10 Ge 0.617 0.617 0.000
Ge11 Ge 0.625 0.034 0.000
Ge12 Ge 0.625 0.625 0.592
Ge13 Ge 0.750 0.250 0.500
Ge14 Ge 0.853 0.500 0.353
Ge15 Ge 0.966 0.375 0.000
Ge16 Ge 0.966 0.966 0.592



11.
# Sc2AlSiGe | Alexandria via LeMat-Bulk | PBEsol | optimized geometry
# space-group type = No. 123
# crystal system = tetragonal
# ρ = 3.203 g/cm3
# DFT total energy = -25.8 eV per formula unit
data_Sc2AlSiGe
_chemical_formula_sum 'Sc2 Al1 Si1 Ge1'
_space_group_name_H-M_alt 'P 1'
_space_group_IT_number 1
_cell_length_a 5.030
_cell_length_b 5.030
_cell_length_c 4.459
_cell_angle_alpha 90.00
_cell_angle_beta 90.00
_cell_angle_gamma 90.00
loop_
_space_group_symop_operation_xyz
'x,y,z'
loop_
_atom_site_label
_atom_site_type_symbol
_atom_site_fract_x
_atom_site_fract_y
_atom_site_fract_z
Sc1 Sc 0.000 0.500 0.000
Sc2 Sc 0.500 0.000 0.000
Al1 Al 0.000 0.000 0.000
Si1 Si 0.000 0.000 0.500
Ge1 Ge 0.500 0.500 0.500



12.
# Al3GeSe | Alexandria via LeMat-Bulk | PBEsol | optimized geometry
# space-group type = No. 221
# crystal system = cubic
# ρ = 3.321 g/cm3
# DFT total energy = -17.7 eV per formula unit
data_Al3GeSe
_chemical_formula_sum 'Al3 Ge1 Se1'
_space_group_name_H-M_alt 'P 1'
_space_group_IT_number 1
_cell_length_a 4.881
_cell_length_b 4.881
_cell_length_c 4.881
_cell_angle_alpha 90.00
_cell_angle_beta 90.00
_cell_angle_gamma 90.00
loop_
_space_group_symop_operation_xyz
'x,y,z'
loop_
_atom_site_label
_atom_site_type_symbol
_atom_site_fract_x
_atom_site_fract_y
_atom_site_fract_z
Al1 Al 0.000 0.000 0.500
Al2 Al 0.000 0.500 0.000
Al3 Al 0.500 0.000 0.000
Ge1 Ge 0.500 0.500 0.500
Se1 Se 0.000 0.000 0.000